VO2F | PBE with a Hubbard U | relaxed

For the density of states at the Fermi level, the calculation gives 6.8 states/eV/f.u. The calculation puts the energy at -6.25 eV/atom. For the density, the calculation gives 2.54 g/cm3.

a b c (Å): 5.7238 5.7238 5.7377
angles (deg): 60.08 60.08 90.00
Last column: nearest neighbours and their distance in Å.
Fractional positions:
1 F 0.5000 0.5000 0.0000  12 O 3.35-3.37, 4 F 3.51, 4 V 3.51
2 F 0.2500 0.7500 0.5000  12 O 3.35-3.37, 4 V 3.51, 4 F 3.51
3 O 0.8736 0.1250 0.2500  2 V 1.76
4 O 0.8750 0.1236 0.7500  2 V 1.76
5 O 0.8764 0.6250 0.2500  2 V 1.76
6 O 0.3750 0.1264 0.7500  2 V 1.76
7 V 0.7500 0.2500 0.5000  4 O 1.76
8 V 0.0000 0.0000 0.0000  4 O 1.76